MnBe3O: optimized geometry, GGA+U.

Output
* relative energy among the computed polymorphs: 1461 meV per atom
* space-group type: Pm-3m (221)

a b c (Å): 4.1545 4.1545 4.1545
angles (deg): 90.00 90.00 90.00
Last column: nearest neighbours and their distance in Å.
Fractional positions:
Be 0.0000 0.0000 0.5000  2 Mn 2.08
Be 0.5000 0.0000 0.0000  2 Mn 2.08
Mn 0.0000 0.0000 0.0000  6 Be 2.08
O 0.5000 0.5000 0.5000  12 Be 2.94
Be 0.0000 0.5000 0.0000  2 Mn 2.08